1.
Below is an optimized crystal structure of ThNbSe, with properties calculated at the GGA-PBE level.

Computed properties:
- E_tot: -7.34 eV per atom
- Density: 8.866 g cm⁻³

CIF file:
```
data_ThNbSe
_chemical_formula_sum 'Th6 Nb6 Se6'
_cell_length_a 4.2018
_cell_length_b 4.2018
_cell_length_c 29.6849
_cell_angle_alpha 90.00
_cell_angle_beta 90.00
_cell_angle_gamma 120.00
_symmetry_space_group_name_H-M 'R -3 m'
_symmetry_Int_Tables_number 166
_symmetry_space_group_name_Hall '-R 3 2"'
loop_
_atom_site_label
_atom_site_type_symbol
_atom_site_fract_x
_atom_site_fract_y
_atom_site_fract_z
Th1 Th 0.0000 0.0000 0.1178
Nb1 Nb 0.0000 0.0000 0.3647
Se1 Se 0.0000 0.0000 0.2745
```


2.
Below is an optimized crystal structure of Nb3TlSe5, with properties calculated at the GGA-PBE level.

Computed properties:
- E_tot: -6.12 eV per atom
- Density: 6.487 g cm⁻³

CIF file:
```
data_Nb3TlSe5
_chemical_formula_sum 'Nb3 Tl1 Se5'
_cell_length_a 5.8000
_cell_length_b 5.8000
_cell_length_c 7.7142
_cell_angle_alpha 90.00
_cell_angle_beta 90.00
_cell_angle_gamma 120.00
_symmetry_space_group_name_H-M 'P 6/m m m'
_symmetry_Int_Tables_number 191
_symmetry_space_group_name_Hall '-P 6 2'
loop_
_atom_site_label
_atom_site_type_symbol
_atom_site_fract_x
_atom_site_fract_y
_atom_site_fract_z
Nb1 Nb 0.0000 0.5000 0.0000
Tl1 Tl 0.0000 0.0000 0.5000
Se1 Se 0.0000 0.0000 0.0000
Se2 Se 0.3333 0.6667 0.2662
```


3.
Below is an optimized crystal structure of Nb2Tl4Se11, with properties calculated at the GGA-PBE level.

Computed properties:
- E_tot: -4.49 eV per atom
- Density: 6.322 g cm⁻³

CIF file:
```
data_Nb2Tl4Se11
_chemical_formula_sum 'Nb4 Tl8 Se22'
_cell_length_a 8.060
_cell_length_b 9.243
_cell_length_c 13.840
_cell_angle_alpha 72.93
_cell_angle_beta 89.36
_cell_angle_gamma 86.09
_symmetry_space_group_name_H-M 'P -1'
_symmetry_Int_Tables_number 2
loop_
_symmetry_equiv_pos_as_xyz
'x,y,z'
'-x,-y,-z'
loop_
_atom_site_label
_atom_site_type_symbol
_atom_site_fract_x
_atom_site_fract_y
_atom_site_fract_z
Nb1 Nb 0.123 0.366 0.304
Nb2 Nb 0.336 0.108 0.188
Tl1 Tl 0.052 0.762 0.984
Tl2 Tl 0.213 0.978 0.572
Tl3 Tl 0.239 0.417 0.582
Tl4 Tl 0.492 0.722 0.113
Se1 Se 0.020 0.713 0.531
Se2 Se 0.025 0.130 0.249
Se3 Se 0.055 0.659 0.249
Se4 Se 0.120 0.493 0.816
Se5 Se 0.262 0.404 0.109
Se6 Se 0.272 0.035 0.037
Se7 Se 0.345 0.857 0.335
Se8 Se 0.393 0.180 0.373
Se9 Se 0.399 0.078 0.750
Se10 Se 0.402 0.446 0.353
Se11 Se 0.452 0.689 0.882
```


4.
Below is an optimized crystal structure of NbTlZnSe3, with properties calculated at the GGA-PBE level.

Computed properties:
- E_tot: -4.54 eV per atom
- Density: 6.822 g cm⁻³

CIF file:
```
data_NbTlZnSe3
_chemical_formula_sum 'Nb4 Tl4 Zn4 Se12'
_cell_length_a 3.761
_cell_length_b 15.220
_cell_length_c 10.199
_cell_angle_alpha 90.00
_cell_angle_beta 90.00
_cell_angle_gamma 90.00
_symmetry_space_group_name_H-M 'C m c m'
_symmetry_Int_Tables_number 63
_symmetry_space_group_name_Hall '-C 2c 2'
loop_
_atom_site_label
_atom_site_type_symbol
_atom_site_fract_x
_atom_site_fract_y
_atom_site_fract_z
Nb1 Nb 0.000 0.000 0.000
Tl1 Tl 0.000 0.248 0.250
Zn1 Zn 0.000 0.460 0.750
Se1 Se 0.000 0.068 0.750
Se2 Se 0.000 0.375 0.545
```